Entry from Alexandria via LeMat-Bulk: crystalline Pr4HgSe5 at its relaxed geometry (GGA-PBE).

Values from the calculation:
- spin magnetization (μB per formula unit) = 0.00
- calculated density (g/cm3) = 5.12
- raw total energy (eV per formula unit) = -51.5
- space-group type = C2/m (12)
- uncorrected formation energy (eV/atom) = -1.468

Unit cell a=4.2608 b=9.4154 c=10.1490 alpha=108.70 beta=102.12 gamma=90.00
Atoms (fractional coordinates):
Pr 0.3245 0.9175 0.6490
Pr 0.0139 0.7292 0.0278
Pr 0.6755 0.0825 0.3510
Pr 0.9861 0.2708 0.9722
Hg 0.5000 0.0000 0.0000
Se 0.8735 0.7597 0.7469
Se 0.8297 0.1457 0.6595
Se 0.1703 0.8543 0.3405
Se 0.5000 0.5000 0.0000
Se 0.1265 0.2403 0.2531

***

Entry from Alexandria via LeMat-Bulk: crystalline KLaSb2 at its relaxed geometry (GGA-PBE).

Values from the calculation:
- spin magnetization (μB per formula unit) = 0.00
- energy above the lowest structure with this stoichiometry (eV per atom) = 0.230
- calculated density (g/cm3) = 5.53
- raw total energy (eV per formula unit) = -16.3
- space-group type = I-4m2 (119)
- uncorrected formation energy (eV/atom) = -0.519

Unit cell a=6.5554 b=6.5554 c=6.5554 alpha=137.60 beta=137.60 gamma=61.52
Atoms (fractional coordinates):
K 0.5000 0.5000 0.0000
La 0.7500 0.2500 0.5000
Sb 0.0000 0.0000 0.0000
Sb 0.2500 0.7500 0.5000

***

Entry from Alexandria via LeMat-Bulk: crystalline DyMg3Cd at its relaxed geometry (GGA-PBE).

Values from the calculation:
- spin magnetization (μB per formula unit) = 0.00
- calculated density (g/cm3) = 4.75
- raw total energy (eV per formula unit) = -10.8
- space-group type = P2_1/m (11)
- energy relative to the elements (eV per atom) = -0.109

Unit cell a=3.3730 b=7.9321 c=9.5029 alpha=72.86 beta=90.00 gamma=90.00
Atoms (fractional coordinates):
Dy 0.3810 0.4734 0.2436
Dy 0.8810 0.2014 0.5625
Mg 0.8810 0.6497 0.4773
Mg 0.3810 0.0250 0.3288
Mg 0.8810 0.6545 0.9216
Mg 0.8810 0.2425 0.0492
Mg 0.3810 0.4323 0.7569
Mg 0.3810 0.0203 0.8845
Cd 0.3810 0.8363 0.6545
Cd 0.8810 0.8385 0.1516

***

Entry from Alexandria via LeMat-Bulk: crystalline CaLa5Tb4 at its relaxed geometry (GGA-PBE).

Values from the calculation:
- spin magnetization (μB per formula unit) = 0.00
- calculated density (g/cm3) = 6.40
- raw total energy (eV per formula unit) = -44.8
- space-group type = P4/mmm (123)
- energy relative to the elements (eV per atom) = 0.033

Unit cell a=3.6934 b=3.6934 c=26.0591 alpha=90.00 beta=90.00 gamma=90.00
Atoms (fractional coordinates):
Ca 0.0000 0.0000 0.0000
La 0.5000 0.5000 0.1103
La 0.5000 0.5000 0.3051
La 0.5000 0.5000 0.5000
La 0.5000 0.5000 0.6949
La 0.5000 0.5000 0.8897
Tb 0.0000 0.0000 0.2060
Tb 0.0000 0.0000 0.4024
Tb 0.0000 0.0000 0.5976
Tb 0.0000 0.0000 0.7940